The following is a PBE calculation of an optimized crystal structure of ThAlHg2, from the Alexandria database.

Properties
space group	P4/mmm
total energy	-3.12	eV/atom
formation energy from the elements	-0.18	eV/atom
spin magnetization	0.000	μB/atom

Lattice parameters (Å, degrees): 4.554 4.554 4.739 90.00 90.00 90.00
Positions (direct):
Th (0.000, 0.000, 0.000)
Al (0.500, 0.500, 0.000)
Hg (0.000, 0.500, 0.500)
Hg (0.500, 0.000, 0.500)

---

The following is a PBE calculation of an optimized crystal structure of Th2Al3Hg, from the Alexandria database.

Properties
space group	Imm2
offset from the most stable computed form	6.1	meV/atom
total energy	-4.77	eV/atom
formation energy from the elements	-0.38	eV/atom
spin magnetization	0.000	μB/atom

Lattice parameters (Å, degrees): 8.343 8.343 8.343 150.69 148.91 43.25
Positions (direct):
Th (0.000, 0.000, 0.000)
Th (0.770, 0.270, 0.500)
Al (0.178, 0.678, 0.500)
Al (0.341, 0.841, 0.500)
Al (0.428, 0.428, 0.000)
Hg (0.595, 0.595, 0.000)

---

The following is a PBE calculation of an optimized crystal structure of ThAlHg2, from the Alexandria database.

Properties
space group	R-3m
total energy	-3.15	eV/atom
formation energy from the elements	-0.21	eV/atom
spin magnetization	0.000	μB/atom

Lattice parameters (Å, degrees): 5.937 5.937 5.937 45.66 45.66 45.66
Positions (direct):
Th (0.000, 0.000, 0.000)
Al (0.500, 0.500, 0.500)
Hg (0.227, 0.227, 0.227)
Hg (0.773, 0.773, 0.773)

---

The following is a PBE calculation of an optimized crystal structure of Th7Al2Hg2, from the Alexandria database.

Properties
space group	Cmmm
total energy	-5.29	eV/atom
formation energy from the elements	0.16	eV/atom
spin magnetization	0.000	μB/atom

Lattice parameters (Å, degrees): 6.905 6.905 7.533 90.00 90.00 107.54
Positions (direct):
Th (0.000, 0.000, 0.000)
Th (0.000, 0.500, 0.282)
Th (0.000, 0.500, 0.718)
Th (0.500, 0.000, 0.282)
Th (0.500, 0.000, 0.718)
Th (0.500, 0.500, 0.256)
Th (0.500, 0.500, 0.744)
Al (0.282, 0.718, 0.000)
Al (0.718, 0.282, 0.000)
Hg (0.170, 0.170, 0.500)
Hg (0.830, 0.830, 0.500)

---

The following is a PBE calculation of an optimized crystal structure of Th4Al2Hg, from the Alexandria database.

Properties
space group	R-3m
total energy	-5.30	eV/atom
formation energy from the elements	0.05	eV/atom
spin magnetization	0.000	μB/atom

Lattice parameters (Å, degrees): 10.264 10.264 10.264 28.06 28.06 28.06
Positions (direct):
Th (0.117, 0.117, 0.117)
Th (0.298, 0.298, 0.298)
Th (0.702, 0.702, 0.702)
Th (0.883, 0.883, 0.883)
Al (0.406, 0.406, 0.406)
Al (0.594, 0.594, 0.594)
Hg (0.500, 0.500, 0.500)

---

The following is a PBE calculation of an optimized crystal structure of Th2AlHg2, from the Alexandria database.

Properties
space group	C2/m
total energy	-4.10	eV/atom
formation energy from the elements	-0.27	eV/atom
spin magnetization	0.000	μB/atom

Lattice parameters (Å, degrees): 6.144 6.144 11.033 114.73 114.73 44.67
Positions (direct):
Th (0.010, 0.010, 0.333)
Th (0.181, 0.181, 0.095)
Th (0.819, 0.819, 0.905)
Th (0.990, 0.990, 0.667)
Al (0.278, 0.278, 0.669)
Al (0.722, 0.722, 0.331)
Hg (0.349, 0.349, 0.440)
Hg (0.475, 0.475, 0.122)
Hg (0.525, 0.525, 0.878)
Hg (0.651, 0.651, 0.560)

---

The following is a PBE calculation of an optimized crystal structure of Th4AlHg, from the Alexandria database.

Properties
space group	P4/mcc
total energy	-5.81	eV/atom
formation energy from the elements	-0.19	eV/atom
spin magnetization	0.000	μB/atom

Lattice parameters (Å, degrees): 7.735 7.735 5.807 90.00 90.00 90.00
Positions (direct):
Th (0.151, 0.338, 0.000)
Th (0.151, 0.662, 0.500)
Th (0.338, 0.151, 0.500)
Th (0.338, 0.849, 0.000)
Th (0.662, 0.151, 0.000)
Th (0.662, 0.849, 0.500)
Th (0.849, 0.338, 0.500)
Th (0.849, 0.662, 0.000)
Al (0.000, 0.000, 0.250)
Al (0.000, 0.000, 0.750)
Hg (0.500, 0.500, 0.250)
Hg (0.500, 0.500, 0.750)

---

The following is a PBE calculation of an optimized crystal structure of Th2AlHg, from the Alexandria database.

Properties
space group	Fm-3m
offset from the most stable computed form	92.8	meV/atom
total energy	-4.89	eV/atom
formation energy from the elements	-0.16	eV/atom
spin magnetization	0.000	μB/atom

Lattice parameters (Å, degrees): 5.364 5.364 5.364 60.00 60.00 60.00
Positions (direct):
Th (0.250, 0.250, 0.250)
Th (0.750, 0.750, 0.750)
Al (0.000, 0.000, 0.000)
Hg (0.500, 0.500, 0.500)

---

The following is a PBE calculation of an optimized crystal structure of Th2AlHg, from the Alexandria database.

Properties
space group	P4/mmm
offset from the most stable computed form	52.6	meV/atom
total energy	-4.93	eV/atom
formation energy from the elements	-0.20	eV/atom
spin magnetization	0.000	μB/atom

Lattice parameters (Å, degrees): 4.851 4.851 4.502 90.00 90.00 90.00
Positions (direct):
Th (0.000, 0.500, 0.000)
Th (0.500, 0.000, 0.000)
Al (0.000, 0.000, 0.500)
Hg (0.500, 0.500, 0.500)

---

The following is a PBE calculation of an optimized crystal structure of Th3Al3Hg, from the Alexandria database.

Properties
space group	C2/m
total energy	-5.16	eV/atom
formation energy from the elements	-0.33	eV/atom
spin magnetization	0.000	μB/atom

Lattice parameters (Å, degrees): 6.111 6.111 14.751 108.27 108.27 43.82
Positions (direct):
Th (0.024, 0.024, 0.376)
Th (0.107, 0.107, 0.922)
Th (0.241, 0.241, 0.220)
Th (0.759, 0.759, 0.780)
Th (0.893, 0.893, 0.078)
Th (0.976, 0.976, 0.624)
Al (0.374, 0.374, 0.455)
Al (0.394, 0.394, 0.926)
Al (0.472, 0.472, 0.774)
Al (0.528, 0.528, 0.226)
Al (0.606, 0.606, 0.074)
Al (0.626, 0.626, 0.545)
Hg (0.261, 0.261, 0.608)
Hg (0.739, 0.739, 0.392)

---

The following is a PBE calculation of an optimized crystal structure of Th2AlHg3, from the Alexandria database.

Properties
space group	Fmmm
offset from the most stable computed form	14.2	meV/atom
total energy	-3.51	eV/atom
formation energy from the elements	-0.27	eV/atom
spin magnetization	0.000	μB/atom

Lattice parameters (Å, degrees): 9.772 9.212 6.099 76.33 66.34 37.33
Positions (direct):
Th (0.242, 0.758, 0.758)
Th (0.250, 0.250, 0.250)
Th (0.750, 0.750, 0.750)
Th (0.758, 0.242, 0.242)
Al (0.334, 0.334, 0.666)
Al (0.666, 0.666, 0.334)
Hg (0.172, 0.172, 0.828)
Hg (0.173, 0.657, 0.343)
Hg (0.343, 0.827, 0.173)
Hg (0.657, 0.173, 0.827)
Hg (0.827, 0.343, 0.657)
Hg (0.828, 0.828, 0.172)

---

The following is a PBE calculation of an optimized crystal structure of Th3Al2Hg4, from the Alexandria database.

Properties
space group	C2/m
total energy	-3.73	eV/atom
formation energy from the elements	-0.29	eV/atom
spin magnetization	0.000	μB/atom

Lattice parameters (Å, degrees): 6.144 6.144 9.112 113.08 113.08 46.23
Positions (direct):
Th (0.000, 0.000, 0.000)
Th (0.337, 0.337, 0.329)
Th (0.663, 0.663, 0.671)
Al (0.388, 0.388, 0.719)
Al (0.612, 0.612, 0.281)
Hg (0.085, 0.085, 0.412)
Hg (0.306, 0.306, 0.964)
Hg (0.694, 0.694, 0.036)
Hg (0.915, 0.915, 0.588)

---

The following is a PBE calculation of an optimized crystal structure of Th3AlHg2, from the Alexandria database.

Properties
space group	P4/mmm
total energy	-4.68	eV/atom
formation energy from the elements	-0.25	eV/atom
spin magnetization	0.000	μB/atom

Lattice parameters (Å, degrees): 3.431 3.431 13.581 90.00 90.00 90.00
Positions (direct):
Th (0.000, 0.000, 0.000)
Th (0.000, 0.000, 0.343)
Th (0.000, 0.000, 0.657)
Al (0.500, 0.500, 0.500)
Hg (0.500, 0.500, 0.170)
Hg (0.500, 0.500, 0.830)

---

The following is a PBE calculation of an optimized crystal structure of Th2AlHg3, from the Alexandria database.

Properties
space group	Pmm2
offset from the most stable computed form	0.0	meV/atom
total energy	-3.53	eV/atom
formation energy from the elements	-0.28	eV/atom
spin magnetization	0.000	μB/atom

Lattice parameters (Å, degrees): 3.572 4.923 8.510 90.00 90.00 90.00
Positions (direct):
Th (0.000, 0.000, 0.000)
Th (0.000, 0.500, 0.493)
Al (0.500, 0.000, 0.326)
Hg (0.500, 0.000, 0.651)
Hg (0.500, 0.500, 0.172)
Hg (0.500, 0.500, 0.831)

---

The following is a PBE calculation of an optimized crystal structure of TmThAlHg, from the Alexandria database.

Properties
space group	F-43m
total energy	-4.27	eV/atom
formation energy from the elements	-0.29	eV/atom
spin magnetization	0.000	μB/atom

Lattice parameters (Å, degrees): 5.256 5.256 5.256 60.00 60.00 60.00
Positions (direct):
Tm (0.000, 0.000, 0.000)
Th (0.500, 0.500, 0.500)
Al (0.250, 0.250, 0.250)
Hg (0.750, 0.750, 0.750)

---

The following is a PBE calculation of an optimized crystal structure of Th2Al4Zn3Hg, from the Alexandria database.

Properties
space group	P-4m2
total energy	-3.72	eV/atom
formation energy from the elements	-0.32	eV/atom
spin magnetization	0.000	μB/atom

Lattice parameters (Å, degrees): 4.312 4.312 10.793 90.00 90.00 90.00
Positions (direct):
Th (0.000, 0.500, 0.245)
Th (0.500, 0.000, 0.755)
Al (0.000, 0.000, 0.000)
Al (0.000, 0.500, 0.642)
Al (0.500, 0.000, 0.358)
Al (0.500, 0.500, 0.000)
Zn (0.000, 0.500, 0.868)
Zn (0.500, 0.000, 0.132)
Zn (0.500, 0.500, 0.500)
Hg (0.000, 0.000, 0.500)

---

The following is a PBE calculation of an optimized crystal structure of ThAlZnHg, from the Alexandria database.

Properties
space group	F-43m
total energy	-3.30	eV/atom
formation energy from the elements	-0.12	eV/atom
spin magnetization	0.000	μB/atom

Lattice parameters (Å, degrees): 5.024 5.024 5.024 60.00 60.00 60.00
Positions (direct):
Th (0.000, 0.000, 0.000)
Al (0.500, 0.500, 0.500)
Zn (0.250, 0.250, 0.250)
Hg (0.750, 0.750, 0.750)

---

The following is a PBE calculation of an optimized crystal structure of Th2Al3Zn4Hg, from the Alexandria database.

Properties
space group	P-4m2
total energy	-3.47	eV/atom
formation energy from the elements	-0.32	eV/atom
spin magnetization	0.000	μB/atom

Lattice parameters (Å, degrees): 4.275 4.275 10.910 90.00 90.00 90.00
Positions (direct):
Th (0.000, 0.500, 0.242)
Th (0.500, 0.000, 0.758)
Al (0.000, 0.500, 0.870)
Al (0.500, 0.000, 0.130)
Al (0.500, 0.500, 0.500)
Zn (0.000, 0.000, 0.000)
Zn (0.000, 0.500, 0.646)
Zn (0.500, 0.000, 0.354)
Zn (0.500, 0.500, 0.000)
Hg (0.000, 0.000, 0.500)

---

The following is a PBE calculation of an optimized crystal structure of Th3AlZn6Hg2, from the Alexandria database.

Properties
space group	P-3m1
total energy	-2.97	eV/atom
formation energy from the elements	-0.12	eV/atom
spin magnetization	0.000	μB/atom

Lattice parameters (Å, degrees): 5.892 5.892 8.797 90.00 90.00 120.00
Positions (direct):
Th (0.000, 0.000, 0.000)
Th (0.333, 0.667, 0.601)
Th (0.667, 0.333, 0.399)
Al (0.000, 0.000, 0.500)
Zn (0.181, 0.363, 0.282)
Zn (0.181, 0.819, 0.282)
Zn (0.363, 0.181, 0.718)
Zn (0.637, 0.819, 0.282)
Zn (0.819, 0.181, 0.718)
Zn (0.819, 0.637, 0.718)
Hg (0.333, 0.667, 0.978)
Hg (0.667, 0.333, 0.022)

---

The following is a PBE calculation of an optimized crystal structure of Ti7Al2Hg2, from the Alexandria database.

Properties
space group	C2/m
total energy	-5.67	eV/atom
formation energy from the elements	0.09	eV/atom
spin magnetization	0.090	μB/atom

Lattice parameters (Å, degrees): 6.374 6.374 5.566 105.42 105.42 99.16
Positions (direct):
Ti (0.000, 0.000, 0.000)
Ti (0.060, 0.581, 0.780)
Ti (0.309, 0.309, 0.517)
Ti (0.419, 0.940, 0.220)
Ti (0.581, 0.060, 0.780)
Ti (0.691, 0.691, 0.483)
Ti (0.940, 0.419, 0.220)
Al (0.139, 0.861, 0.500)
Al (0.861, 0.139, 0.500)
Hg (0.344, 0.344, 0.048)
Hg (0.656, 0.656, 0.952)